1.
Below is an optimized crystal structure of KZrTlBi2, with properties calculated at the PBE-GGA level.

POSCAR file:
```
KZrTlBi2
1.0
5.747 0.000 0.000
0.000 5.747 0.000
0.000 0.000 5.796
Bi Zr Tl K
2 1 1 1
Direct
0.000 0.500 0.000 Bi
0.500 0.000 0.000 Bi
0.000 0.000 0.000 Zr
0.000 0.000 0.500 Tl
0.500 0.500 0.500 K
```

Results
- ΔH_f (0 K) (eV per atom) = -0.10
- D(E_F) (states/eV/cell) = 4.197

=====

2.
Below is an optimized crystal structure of ZnGe2C, with properties calculated at the PBE-GGA level.

POSCAR file:
```
ZnGe2C
1.0
5.417 0.000 0.000
0.000 5.417 0.000
2.708 2.708 4.655
Zn Ge C
2 4 2
Direct
0.000 0.000 0.000 Zn
0.750 0.250 0.500 Zn
0.875 0.805 0.750 Ge
0.195 0.625 0.250 Ge
0.375 0.445 0.750 Ge
0.555 0.125 0.250 Ge
0.500 0.500 0.000 C
0.250 0.750 0.500 C
```

Results
- ΔE to the lowest computed polymorph (kJ/mol of formula units) = 0
- ΔH_f (0 K) (eV per atom) = 0.58
- D(E_F) (states/eV/cell) = 0.747

=====

3.
Below is an optimized crystal structure of HfNbH2, with properties calculated at the PBE-GGA level.

POSCAR file:
```
HfNbH2
1.0
0.000 2.829 2.829
2.829 0.000 2.829
2.829 2.829 0.000
Nb H Hf
1 2 1
Direct
0.000 0.000 0.000 Nb
0.750 0.750 0.750 H
0.250 0.250 0.250 H
0.500 0.500 0.500 Hf
```

Results
- ΔE to the lowest computed polymorph (kJ/mol of formula units) = 222
- D(E_F) (states/eV/cell) = 1.052

=====

4.
Below is an optimized crystal structure of SmAlZn4, with properties calculated at the PBE-GGA level.

POSCAR file:
```
SmAlZn4
1.0
-3.321 0.509 -2.765
1.127 -6.078 -2.473
-3.340 -3.390 6.810
Sm Zn Al
2 8 2
Direct
0.382 0.750 0.764 Sm
0.618 0.250 0.236 Sm
0.240 0.425 0.479 Zn
0.432 0.250 0.864 Zn
0.760 0.925 0.521 Zn
0.240 0.075 0.479 Zn
0.760 0.575 0.521 Zn
0.000 0.500 0.000 Zn
0.568 0.750 0.136 Zn
0.000 0.000 0.000 Zn
0.157 0.750 0.315 Al
0.843 0.250 0.685 Al
```

Results
- ΔE to the lowest computed polymorph (kJ/mol of formula units) = 11
- ΔH_f (0 K) (eV per atom) = -0.10
- D(E_F) (states/eV/cell) = 5.050

=====

5.
Below is an optimized crystal structure of RbMgHg2Se, with properties calculated at the PBE-GGA level.

POSCAR file:
```
RbMgHg2Se
1.0
-0.186 2.366 5.121
-3.790 -3.848 1.640
3.865 -3.130 1.586
Rb Hg Se Mg
1 2 1 1
Direct
0.500 0.500 0.500 Rb
0.500 0.000 0.000 Hg
0.000 0.500 0.000 Hg
0.000 0.000 0.500 Se
0.000 0.000 0.000 Mg
```

Results
- E_form (uncorrected) (kJ/mol of atoms) = -42.05
- D(E_F) (states/eV/cell) = 3.047

=====

6.
Below is an optimized crystal structure of LiPd2Pt, with properties calculated at the PBE-GGA level.

POSCAR file:
```
LiPd2Pt
1.0
-1.340 -1.508 1.930
3.752 -2.654 0.532
1.548 2.849 3.300
Li Pt Pd
1 1 2
Direct
0.500 0.500 0.500 Li
0.500 0.000 0.000 Pt
0.000 0.500 0.000 Pd
0.000 0.000 0.500 Pd
```

Results
- ΔE to the lowest computed polymorph (kJ/mol of formula units) = 23
- ΔH_f (0 K) (eV per atom) = -0.31
- D(E_F) (states/eV/cell) = 3.808

=====

7.
Below is an optimized crystal structure of Ge4Pd2Pt, with properties calculated at the PBE-GGA level.

POSCAR file:
```
Ge4Pd2Pt
1.0
3.442 0.000 0.000
0.000 6.355 -0.318
-1.721 -3.385 5.786
Ge Pt Pd
4 1 2
Direct
0.643 0.322 0.286 Ge
0.357 0.678 0.714 Ge
0.086 0.728 0.172 Ge
0.914 0.272 0.828 Ge
0.000 0.000 0.000 Pt
0.260 0.205 0.519 Pd
0.740 0.795 0.481 Pd
```

Results
- ΔH_f (0 K) (eV per atom) = -0.36
- D(E_F) (states/eV/cell) = 2.624

=====

8.
Below is an optimized crystal structure of CrIn2P, with properties calculated at the PBE-GGA level.

POSCAR file:
```
CrIn2P
1.0
-5.754 1.216 5.387
-2.130 -0.853 7.638
5.074 1.804 -5.883
Cr In P
1 2 1
Direct
0.250 0.750 0.500 Cr
0.578 0.578 0.000 In
0.922 0.922 0.000 In
0.750 0.250 0.500 P
```

Results
- ΔH_f (0 K) (eV per atom) = 0.08
- D(E_F) (states/eV/cell) = 2.954